The following is a DFT calculation (PBE-GGA) of a geometry-optimized HfInGe2O8 structure.

extended XYZ file:
```
12
Lattice="-1.976 0.521 5.402 -4.029 -1.850 -3.702 4.266 -3.893 0.052" Properties=species:S:1:pos:R:3 pbc="T T T"
In 0.000 0.000 0.000
Hf -1.383 -3.203 -1.400
Ge -3.003 -0.664 0.850
Ge -0.356 -2.018 3.152
O -1.590 -1.233 4.155
O 1.252 -2.370 3.810
O -0.276 -4.142 0.149
O -1.503 -3.330 2.822
O -1.863 -1.541 -0.170
O 2.311 -3.197 1.303
O 0.415 -1.139 1.819
O -3.650 -1.563 2.222
```

Energy relative to the elements, uncorrected   -1892 meV per atom
Symmetry   I-4m2
D(E_F)   0.862 states/eV/atom

***

The following is a DFT calculation (PBE-GGA) of a geometry-optimized Hf2InGeO structure.

extended XYZ file:
```
5
Lattice="5.023 0.000 0.000 0.000 4.935 0.000 0.000 0.000 5.023" Properties=species:S:1:pos:R:3 pbc="T T T"
Hf 0.000 0.000 2.512
Hf 2.512 0.000 0.000
Ge 0.000 0.000 0.000
In 0.000 2.467 0.000
O 2.512 2.467 2.512
```

Energy relative to the elements, uncorrected   968 meV per atom
Symmetry   P4/mmm
D(E_F)   1.149 states/eV/atom

***

The following is a DFT calculation (PBE-GGA) of a geometry-optimized HfInGeOs2 structure.

extended XYZ file:
```
5
Lattice="-2.200 2.896 3.242 -2.530 -3.808 1.685 3.644 -0.951 3.322" Properties=species:S:1:pos:R:3 pbc="T T T"
In 0.000 0.000 0.000
Hf 1.822 -0.476 1.661
Os -1.100 1.448 1.621
Os -1.265 -1.904 0.842
Ge -0.543 -0.932 4.125
```

Symmetry   P4/mmm
ΔH_f (0 K)   2.191 eV per atom
D(E_F)   1.182 states/eV/atom

***

The following is a DFT calculation (PBE-GGA) of a geometry-optimized Hf2InGeSe structure.

extended XYZ file:
```
5
Lattice="5.510 0.000 0.000 0.000 4.806 0.000 0.000 0.000 5.510" Properties=species:S:1:pos:R:3 pbc="T T T"
Ge 0.000 2.403 0.000
Se 2.755 2.403 2.755
In 0.000 0.000 0.000
Hf 2.755 0.000 0.000
Hf 0.000 0.000 2.755
```

Energy relative to the elements, uncorrected   1148 meV per atom
Symmetry   P4/mmm
D(E_F)   1.113 states/eV/atom

***

The following is a DFT calculation (PBE-GGA) of a geometry-optimized Hf2Ge2Ir structure.

extended XYZ file:
```
10
Lattice="6.429 0.000 0.000 0.000 6.429 0.000 0.000 0.000 4.208" Properties=species:S:1:pos:R:3 pbc="T T T"
Ir 0.000 0.000 0.000
Ir 3.215 3.215 0.000
Hf 4.294 5.349 2.104
Hf 1.080 4.294 2.104
Hf 2.135 1.080 2.104
Hf 5.349 2.135 2.104
Ge 2.329 5.543 0.000
Ge 0.886 2.329 0.000
Ge 4.100 0.886 0.000
Ge 5.543 4.100 0.000
```

Symmetry   P4/mbm
ΔH_f (0 K)   -0.723 eV per atom
D(E_F)   0.499 states/eV/atom

***

The following is a DFT calculation (PBE-GGA) of a geometry-optimized HfGeIr3 structure.

extended XYZ file:
```
5
Lattice="-1.811 -1.272 -4.322 -2.216 -3.804 2.048 -3.923 2.736 0.838" Properties=species:S:1:pos:R:3 pbc="T T T"
Hf 0.000 0.000 0.000
Ir -0.905 -0.636 -2.161
Ir -1.961 1.368 0.419
Ir -1.108 -1.902 1.024
Ge -3.975 -1.170 -0.718
```

Symmetry   Pm-3m
ΔH_f (0 K)   1.455 eV per atom
D(E_F)   1.242 states/eV/atom

***

The following is a DFT calculation (PBE-GGA) of a geometry-optimized Hf3GeIr structure.

extended XYZ file:
```
10
Lattice="-0.527 0.206 -3.479 7.297 -1.001 0.630 -1.153 -7.659 -0.277" Properties=species:S:1:pos:R:3 pbc="T T T"
Ge 2.688 -5.244 -0.651
Ge 3.544 -6.582 -2.648
Hf 5.579 -5.622 -1.113
Hf 3.726 -0.797 -0.548
Hf 3.659 -3.372 -2.474
Hf 6.596 -0.887 -2.768
Hf 0.653 -6.206 -2.186
Hf 0.789 -3.281 -0.254
Ir 5.883 -2.813 -0.990
Ir 1.502 -1.355 -2.032
```

Symmetry   P-1
ΔH_f (0 K)   -0.550 eV per atom
D(E_F)   0.767 states/eV/atom

***

The following is a DFT calculation (PBE-GGA) of a geometry-optimized Hf3Ge4Ir4 structure.

extended XYZ file:
```
11
Lattice="-2.710 -0.853 1.106 2.008 -2.676 2.857 0.888 11.833 7.087" Properties=species:S:1:pos:R:3 pbc="T T T"
Ir 0.288 5.419 4.880
Ir -1.248 1.496 2.288
Ir 1.435 6.808 8.762
Ir -0.102 2.885 6.170
Hf -0.973 6.816 7.074
Hf 1.160 1.488 3.976
Hf -0.702 -3.529 3.962
Ge -0.295 -0.787 2.864
Ge -1.149 3.356 3.960
Ge 1.336 4.948 7.090
Ge 0.481 9.092 8.186
```

Symmetry   P-1
ΔH_f (0 K)   -0.573 eV per atom
D(E_F)   0.612 states/eV/atom

***

The following is a DFT calculation (PBE-GGA) of a geometry-optimized HfGeIr2 structure.

extended XYZ file:
```
4
Lattice="-1.613 -3.666 1.694 2.222 -3.721 -0.356 2.089 -1.672 3.953" Properties=species:S:1:pos:R:3 pbc="T T T"
Ge 1.349 -4.530 2.646
Hf 0.000 0.000 0.000
Ir 1.897 -6.848 3.733
Ir 0.801 -2.212 1.558
```

Symmetry   R-3m
ΔH_f (0 K)   -0.516 eV per atom
D(E_F)   0.577 states/eV/atom

***

The following is a DFT calculation (PBE-GGA) of a geometry-optimized HfGe2Ir structure.

extended XYZ file:
```
8
Lattice="4.013 0.000 0.000 0.000 4.013 0.000 2.006 2.006 9.191" Properties=species:S:1:pos:R:3 pbc="T T T"
Ge 3.153 1.003 2.298
Ge 0.860 3.010 2.298
Ge 3.010 2.866 6.893
Ge 5.016 5.160 6.893
Hf 2.006 4.013 4.596
Hf 2.006 2.006 0.000
Ir 4.013 2.006 4.596
Ir 0.000 0.000 0.000
```

Symmetry   I-42d
ΔH_f (0 K)   -0.195 eV per atom
D(E_F)   0.771 states/eV/atom

***

The following is a DFT calculation (PBE-GGA) of a geometry-optimized Hf3Ge2Ir structure.

extended XYZ file:
```
24
Lattice="-1.773 0.694 3.547 3.184 -9.482 3.448 9.151 4.422 3.708" Properties=species:S:1:pos:R:3 pbc="T T T"
Ir 9.396 -3.876 8.883
Ir 4.061 -3.825 6.206
Ir 6.501 -0.541 4.498
Ir 1.166 -0.490 1.821
Hf 4.393 -2.278 3.784
Hf 6.873 1.000 6.667
Hf 5.604 -5.805 7.365
Hf 1.876 0.045 4.356
Hf 8.685 -4.411 6.347
Hf 1.198 -3.200 2.367
Hf 6.169 -2.087 6.919
Hf 7.793 3.432 4.366
Hf 2.769 -7.798 6.338
Hf 9.364 -1.166 8.336
Hf 4.957 1.439 3.339
Hf 3.688 -5.365 4.036
Ge 4.966 3.412 5.241
Ge 1.895 -3.280 5.016
Ge 4.265 -0.102 5.579
Ge 11.202 -3.036 7.336
Ge 5.596 -7.777 5.462
Ge 8.667 -1.086 5.687
Ge -0.640 -1.330 3.367
Ge 6.297 -4.263 5.124
```

Symmetry   Pnma
ΔH_f (0 K)   -0.667 eV per atom
D(E_F)   0.542 states/eV/atom

***

The following is a DFT calculation (PBE-GGA) of a geometry-optimized HfGeIr2 structure.

extended XYZ file:
```
8
Lattice="-3.473 -2.088 -4.133 2.816 -5.053 0.187 -3.904 -5.417 1.965" Properties=species:S:1:pos:R:3 pbc="T T T"
Hf -3.853 -5.538 -2.070
Hf 0.000 0.000 0.000
Ir 0.250 -4.834 -0.027
Ir -3.584 -10.166 -1.984
Ir -2.694 -3.231 -1.949
Ir -3.093 -6.887 0.000
Ge -0.708 -7.021 0.090
Ge -0.328 -3.571 -1.973
```

Symmetry   I-42d
ΔH_f (0 K)   0.081 eV per atom
D(E_F)   0.266 states/eV/atom

***

- Look up the D(E_F) of the tenth one.
  0.771 states/eV/atom

***

What did the ninth record say?
The following is a DFT calculation (PBE-GGA) of a geometry-optimized HfGeIr2 structure.

extended XYZ file:
```
4
Lattice="-1.613 -3.666 1.694 2.222 -3.721 -0.356 2.089 -1.672 3.953" Properties=species:S:1:pos:R:3 pbc="T T T"
Ge 1.349 -4.530 2.646
Hf 0.000 0.000 0.000
Ir 1.897 -6.848 3.733
Ir 0.801 -2.212 1.558
```

Symmetry   R-3m
ΔH_f (0 K)   -0.516 eV per atom
D(E_F)   0.577 states/eV/atom